1.
An optimized crystal structure of Ce2MnZn, computed with PBE.

Cell: 5.016 5.016 5.016 Å, 60.00 60.00 60.00°
Positions (direct):
1 Ce 0.250 0.250 0.250
2 Ce 0.750 0.750 0.750
3 Mn 0.000 0.000 0.000
4 Zn 0.500 0.500 0.500

Values from the calculation:
The space-group type is No. 225. For the formation energy, the calculation gives 0.2 eV/f.u. The relative energy among the computed polymorphs is 11 meV per atom. The total energy comes out at -5.520 eV/atom.

---

2.
An optimized crystal structure of Ce2MnZn, computed with PBE.

Cell: 4.410 4.410 4.364 Å, 90.00 90.00 90.00°
Positions (direct):
1 Ce 0.000 0.500 0.000
2 Ce 0.500 0.000 0.000
3 Mn 0.000 0.000 0.500
4 Zn 0.500 0.500 0.500

Values from the calculation:
The space-group type is No. 123. For the formation energy, the calculation gives 0.2 eV/f.u. The relative energy among the computed polymorphs is 0 meV per atom. The total energy comes out at -5.532 eV/atom.

---

3.
An optimized crystal structure of Ce2MnZn16, computed with PBE.

Cell: 6.833 6.833 6.833 Å, 82.60 82.60 82.60°
Positions (direct):
1 Ce 0.000 0.000 0.000
2 Ce 0.326 0.326 0.326
3 Mn 0.561 0.561 0.561
4 Zn 0.014 0.014 0.499
5 Zn 0.014 0.499 0.014
6 Zn 0.162 0.659 0.659
7 Zn 0.310 0.310 0.812
8 Zn 0.310 0.812 0.310
9 Zn 0.370 0.660 0.949
10 Zn 0.370 0.949 0.660
11 Zn 0.499 0.014 0.014
12 Zn 0.659 0.162 0.659
13 Zn 0.659 0.659 0.162
14 Zn 0.660 0.370 0.949
15 Zn 0.660 0.949 0.370
16 Zn 0.763 0.763 0.763
17 Zn 0.812 0.310 0.310
18 Zn 0.949 0.370 0.660
19 Zn 0.949 0.660 0.370

Values from the calculation:
The space-group type is No. 160. For the formation energy, the calculation gives -3.6 eV/f.u. The total energy comes out at -2.372 eV/atom.

---

4.
An optimized crystal structure of Ce2MnZn, computed with PBE.

Cell: 9.450 9.450 9.450 Å, 22.73 22.73 22.73°
Positions (direct):
1 Ce 0.114 0.114 0.114
2 Ce 0.886 0.886 0.886
3 Mn 0.500 0.500 0.500
4 Zn 0.000 0.000 0.000

Values from the calculation:
The space-group type is No. 166. For the formation energy, the calculation gives 1.8 eV/f.u. The relative energy among the computed polymorphs is 398 meV per atom. The total energy comes out at -5.134 eV/atom.

---

- The lowest formation energy belongs to which entry?
  Ce2MnZn16

---

- What is the formula in the second record?
  Ce2MnZn

---

- Which value of formation energy does entry 4 give?
  1.8 eV/f.u.

---

What did the first record say?
An optimized crystal structure of Ce2MnZn, computed with PBE.

Cell: 5.016 5.016 5.016 Å, 60.00 60.00 60.00°
Positions (direct):
1 Ce 0.250 0.250 0.250
2 Ce 0.750 0.750 0.750
3 Mn 0.000 0.000 0.000
4 Zn 0.500 0.500 0.500

Values from the calculation:
The space-group type is No. 225. For the formation energy, the calculation gives 0.2 eV/f.u. The relative energy among the computed polymorphs is 11 meV per atom. The total energy comes out at -5.520 eV/atom.